1.
VASP calculation (GGA-PBE) on a geometry-optimized KHgRu2 structure.

Computed properties:
volume = 79.2 Å³ per cell
ΔH_f (0 K) = 1.221 eV/atom
theoretical density = 9.26 g cm⁻³

Cell: 4.099 4.099 4.716 Å, 90.00 90.00 90.00°
Space group P4/mmm (No. 123)
One atom of each set of equivalent atoms:
1 K 0.000 0.000 0.000 x1
2 Hg 0.500 0.500 0.000 x1
3 Ru 0.000 0.500 0.500 x2

=====

2.
VASP calculation (GGA-PBE) on a geometry-optimized KHgRu structure.

Computed properties:
volume = 156.7 Å³ per cell
ΔH_f (0 K) = 0.664 eV/atom
theoretical density = 7.22 g cm⁻³
excess energy over the best structure of this formula in the dataset = 0 meV/atom

Cell: 2.923 4.512 11.883 Å, 90.00 90.00 90.00°
Space group Imm2 (No. 44)
One atom of each set of equivalent atoms:
1 K 0.000 0.000 0.000 x2
2 Hg 0.000 0.000 0.277 x2
3 Ru 0.000 0.000 0.726 x2

=====

3.
VASP calculation (GGA-PBE) on a geometry-optimized K2Hg4Ru structure.

Computed properties:
volume = 487.7 Å³ per cell
ΔH_f (0 K) = 0.025 eV/atom
theoretical density = 6.68 g cm⁻³

Cell: 5.326 5.326 17.196 Å, 90.00 90.00 90.00°
Space group I4/mmm (No. 139)
One atom of each set of equivalent atoms:
1 K 0.000 0.000 0.139 x4
2 Hg 0.000 0.000 0.343 x4
3 Hg 0.000 0.500 0.000 x4
4 Ru 0.000 0.000 0.500 x2

=====

Which formula does entry 2 have?
KHgRu